A relaxed CaMgTc2 crystal. Source: Alexandria, functional PBE.

Properties
Formation energy from the elements: 530.9 meV per atom
E: -22.20 eV/cell

Cell: 2.7294 2.7294 9.4712 Å, 90.00 90.00 90.00°
Sites, in units of the cell vectors:
Ca (0.5000, 0.5000, 0.2500)
Mg (0.5000, 0.5000, 0.7500)
Tc (0.0000, 0.0000, 0.9826)
Tc (0.0000, 0.0000, 0.5174)

---

A relaxed HfGa2Tc crystal. Source: Alexandria, functional PBE.

Properties
Formation energy from the elements: -241.5 meV per atom
Distance to the lowest polymorph of the same formula: 108 meV/atom
E: -27.34 eV/cell

Cell: 4.4977 4.4977 4.4977 Å, 60.00 60.00 60.00°
Sites, in units of the cell vectors:
Hf (0.5000, 0.5000, 0.5000)
Tc (0.0000, 0.0000, 0.0000)
Ga (0.2500, 0.2500, 0.2500)
Ga (0.7500, 0.7500, 0.7500)

---

A relaxed Be2AuBr crystal. Source: Alexandria, functional PBE.

Properties
Distance to the lowest polymorph of the same formula: 531 meV/atom
E: -10.86 eV/cell
Formation energy without anion corrections: 37.1 kJ/mol of atoms

Cell: 3.6002 3.6002 7.4710 Å, 90.00 90.00 129.63°
Sites, in units of the cell vectors:
Be (0.0000, 0.0000, 0.9857)
Be (0.0000, 0.0000, 0.5143)
Au (0.5000, 0.5000, 0.7500)
Br (0.5000, 0.5000, 0.2500)

---

A relaxed ThScCdGa crystal. Source: Alexandria, functional PBE.

Properties
Formation energy from the elements: -301.2 meV per atom
E: -18.90 eV/cell

Cell: 5.1416 5.1416 5.1416 Å, 60.00 60.00 60.00°
Sites, in units of the cell vectors:
Sc (0.5000, 0.5000, 0.5000)
Ga (0.2500, 0.2500, 0.2500)
Th (0.0000, 0.0000, 0.0000)
Cd (0.7500, 0.7500, 0.7500)

---

A relaxed VTc2Ni crystal. Source: Alexandria, functional PBE.

Properties
Formation energy from the elements: 501.1 meV per atom
Distance to the lowest polymorph of the same formula: 623 meV/atom
E: -67.25 eV/cell

Cell: 3.6073 3.6073 9.3103 Å, 78.83 78.83 90.00°
Each line ends with the local moment (μB).
Sites, in units of the cell vectors:
Ni (0.0000, 0.0000, 0.0000)  -0.01
Ni (0.7500, 0.2500, 0.5000)  -0.01
Tc (0.6324, 0.1250, 0.2500)  0.04
Tc (0.1176, 0.6250, 0.2500)  0.04
Tc (0.3750, 0.3676, 0.7500)  0.04
Tc (0.8750, 0.8824, 0.7500)  0.04
V (0.5000, 0.5000, 0.0000)  0.85
V (0.2500, 0.7500, 0.5000)  0.85

---

A relaxed NdIn2Rh4 crystal. Source: Alexandria, functional PBE.

Properties
Formation energy from the elements: -186.9 meV per atom
E: -40.96 eV/cell

Cell: 5.6175 5.6175 5.6175 Å, 111.86 108.29 108.29°
Sites, in units of the cell vectors:
Nd (0.0000, 0.0000, 0.0000)
In (0.5000, 0.5000, 0.0000)
In (0.5000, 0.0000, 0.5000)
Rh (0.5000, 0.0000, 0.0000)
Rh (0.5000, 0.5000, 0.5000)
Rh (0.0000, 0.0000, 0.5000)
Rh (0.0000, 0.5000, 0.0000)

---

A relaxed Th2FeIr crystal. Source: Alexandria, functional PBE.

Properties
Formation energy from the elements: 200.2 meV per atom
E: -31.36 eV/cell

Cell: 3.9277 3.9277 8.7005 Å, 76.96 76.96 60.00°
Each line ends with the local moment (μB).
Sites, in units of the cell vectors:
Ir (0.5000, 0.5000, 0.5000)  -0.02
Fe (0.0000, 0.0000, 0.0000)  1.73
Th (0.0982, 0.0982, 0.7053)  -0.19
Th (0.9018, 0.9018, 0.2947)  -0.19

---

A relaxed ZnRe2Ag crystal. Source: Alexandria, functional PBE.

Properties
Formation energy from the elements: 606.4 meV per atom
E: -26.60 eV/cell

Cell: 5.1397 5.1397 2.6783 Å, 90.00 90.00 119.08°
Sites, in units of the cell vectors:
Ag (0.0000, 0.5000, 0.5000)
Re (0.0000, 0.0000, 0.0000)
Re (0.5000, 0.5000, 0.0000)
Zn (0.5000, 0.0000, 0.5000)

---

A relaxed SmDyLuIn crystal. Source: Alexandria, functional PBE.

Properties
Formation energy from the elements: -150.3 meV per atom
E: -17.18 eV/cell

Cell: 5.4495 5.4495 5.4495 Å, 60.00 60.00 60.00°
Each line ends with the local moment (μB).
Sites, in units of the cell vectors:
Lu (0.7500, 0.7500, 0.7500)  0.07
In (0.2500, 0.2500, 0.2500)  0.00
Sm (0.5000, 0.5000, 0.5000)  0.05
Dy (0.0000, 0.0000, 0.0000)  0.07

---

A relaxed AcPr3Ho6 crystal. Source: Alexandria, functional PBE.

Properties
Formation energy from the elements: 134.8 meV per atom
Distance to the lowest polymorph of the same formula: 0 meV/atom
E: -89.13 eV/cell

Cell: 9.0335 9.2154 9.2154 Å, 116.68 90.00 90.00°
Sites, in units of the cell vectors:
Ac (0.0787, 0.2767, 0.7233)
Ac (0.5787, 0.7233, 0.2767)
Pr (0.4913, 0.8190, 0.6992)
Pr (0.9913, 0.6992, 0.8190)
Pr (0.3157, 0.4521, 0.5479)
Pr (0.8157, 0.5479, 0.4521)
Pr (0.9913, 0.1810, 0.3008)
Pr (0.4913, 0.3008, 0.1810)
Ho (0.1644, 0.8208, 0.5291)
Ho (0.6644, 0.5291, 0.8208)
Ho (0.3227, 0.6789, 0.9719)
Ho (0.8227, 0.9719, 0.6789)
Ho (0.1810, 0.0513, 0.9487)
Ho (0.4534, 0.2151, 0.7849)
Ho (0.9534, 0.7849, 0.2151)
Ho (0.6810, 0.9487, 0.0513)
Ho (0.3227, 0.0281, 0.3211)
Ho (0.8227, 0.3211, 0.0281)
Ho (0.1644, 0.4709, 0.1792)
Ho (0.6644, 0.1792, 0.4709)

---

A relaxed Tb2Dy crystal. Source: Alexandria, functional PBE.

Properties
Formation energy from the elements: 10.7 meV per atom
Distance to the lowest polymorph of the same formula: 0 meV/atom
E: -27.66 eV/cell

Cell: 3.5637 3.5637 17.3594 Å, 84.11 84.11 60.00°
Sites, in units of the cell vectors:
Tb (0.8057, 0.8057, 0.5830)
Tb (0.1943, 0.1943, 0.4170)
Tb (0.3613, 0.3613, 0.9162)
Tb (0.6387, 0.6387, 0.0838)
Dy (0.9165, 0.9165, 0.2505)
Dy (0.0835, 0.0835, 0.7495)

---

A relaxed Si2TeP crystal. Source: Alexandria, functional PBE.

Properties
Distance to the lowest polymorph of the same formula: 146 meV/atom
E: -36.25 eV/cell
Formation energy without anion corrections: 30.6 kJ/mol of atoms

Cell: 6.5727 6.5727 6.2006 Å, 57.99 57.99 90.00°
Sites, in units of the cell vectors:
P (0.5000, 0.5000, 0.0000)
P (0.2500, 0.7500, 0.5000)
Si (0.5739, 0.1250, 0.2500)
Si (0.1761, 0.6250, 0.2500)
Si (0.3750, 0.4261, 0.7500)
Si (0.8750, 0.8239, 0.7500)
Te (0.0000, 0.0000, 0.0000)
Te (0.7500, 0.2500, 0.5000)

---

Number 1: DOS at the Fermi energy 0.80 states/eV per atom. Number 2: DOS at the Fermi energy 0.55 states/eV per atom. Number 3: DOS at the Fermi energy 0.35 states/eV per atom. Number 4: DOS at the Fermi energy 0.55 states/eV per atom. Number 5: DOS at the Fermi energy 1.37 states/eV per atom. Number 6: DOS at the Fermi energy 0.51 states/eV per atom. Number 7: DOS at the Fermi energy 0.86 states/eV per atom. Number 8: DOS at the Fermi energy 1.05 states/eV per atom. Number 9: DOS at the Fermi energy 1.66 states/eV per atom. Number 10: DOS at the Fermi energy 1.21 states/eV per atom. Number 11: DOS at the Fermi energy 1.33 states/eV per atom. Number 12: DOS at the Fermi energy 0.44 states/eV per atom.